[1]
A PBEsol-optimized structure of RbAgP2O6. Source: Alexandria, functional meta-GGA SCAN.

The structure in CIF format:
```
data_RbAgP2O6
_cell_length_a 6.1694
_cell_length_b 7.5150
_cell_length_c 13.2919
_cell_angle_alpha 90.00
_cell_angle_beta 90.00
_cell_angle_gamma 96.21
_space_group_name_H-M_alt 'P 1'
_space_group_IT_number 1
_space_group_name_Hall 'P 1'
loop_
_atom_site_label
_atom_site_type_symbol
_atom_site_fract_x
_atom_site_fract_y
_atom_site_fract_z
Rb1 Rb 0.7180 0.7615 0.8318
Rb2 Rb 0.2820 0.2385 0.1682
Rb3 Rb 0.2820 0.7385 0.3318
Rb4 Rb 0.7180 0.2615 0.6682
Ag1 Ag 0.1869 0.8107 0.0271
Ag2 Ag 0.8131 0.1893 0.9729
Ag3 Ag 0.8131 0.6893 0.5271
Ag4 Ag 0.1869 0.3107 0.4729
P1 P 0.3120 0.6417 0.6327
P2 P 0.6880 0.3583 0.3673
P3 P 0.6880 0.8583 0.1327
P4 P 0.3120 0.1417 0.8673
P5 P 0.1582 0.4978 0.8311
P6 P 0.8418 0.5022 0.1689
P7 P 0.8418 0.0022 0.3311
P8 P 0.1582 0.9978 0.6689
O1 O 0.0677 0.5796 0.1410
O2 O 0.9323 0.4204 0.8590
O3 O 0.9323 0.9204 0.6410
O4 O 0.0677 0.0796 0.3590
O5 O 0.5358 0.5871 0.6488
O6 O 0.4642 0.4129 0.3512
O7 O 0.4642 0.9129 0.1488
O8 O 0.5358 0.0871 0.8512
O9 O 0.2677 0.6605 0.8825
O10 O 0.7323 0.3395 0.1175
O11 O 0.7323 0.8395 0.3825
O12 O 0.2677 0.1605 0.6175
O13 O 0.1408 0.5391 0.7113
O14 O 0.8592 0.4609 0.2887
O15 O 0.8592 0.9609 0.2113
O16 O 0.1408 0.0391 0.7887
O17 O 0.2030 0.6207 0.5316
O18 O 0.7970 0.3793 0.4684
O19 O 0.7970 0.8793 0.0316
O20 O 0.2030 0.1207 0.9684
O21 O 0.3279 0.8484 0.6684
O22 O 0.6721 0.1516 0.3316
O23 O 0.6721 0.6516 0.1684
O24 O 0.3279 0.3484 0.8316
```

Computed properties:
formation energy without anion corrections	-2.133	eV per atom
N(E_F)	0.0	states/eV per cell

=====

[2]
A PBEsol-optimized structure of Cd3Pb2Se4I2O12. Source: Alexandria, functional meta-GGA SCAN.

The structure in CIF format:
```
data_Cd3Pb2Se4I2O12
_cell_length_a 5.4345
_cell_length_b 10.9853
_cell_length_c 14.8709
_cell_angle_alpha 101.04
_cell_angle_beta 90.00
_cell_angle_gamma 90.00
_space_group_name_H-M_alt 'P 1'
_space_group_IT_number 1
_space_group_name_Hall 'P 1'
loop_
_atom_site_label
_atom_site_type_symbol
_atom_site_fract_x
_atom_site_fract_y
_atom_site_fract_z
Cd1 Cd 0.6797 0.2500 0.7500
Cd2 Cd 0.3203 0.7500 0.2500
Cd3 Cd 0.7941 0.5852 0.0937
Cd4 Cd 0.7941 0.9148 0.4063
Cd5 Cd 0.2059 0.4148 0.9063
Cd6 Cd 0.2059 0.0852 0.5937
Pb1 Pb 0.2465 0.7902 0.9925
Pb2 Pb 0.2465 0.7098 0.5075
Pb3 Pb 0.7535 0.2098 0.0075
Pb4 Pb 0.7535 0.2902 0.4925
Se1 Se 0.7332 0.5780 0.8674
Se2 Se 0.7332 0.9220 0.6326
Se3 Se 0.2668 0.4220 0.1326
Se4 Se 0.2668 0.0780 0.3674
Se5 Se 0.7463 0.8884 0.1490
Se6 Se 0.7463 0.6116 0.3510
Se7 Se 0.2537 0.1116 0.8510
Se8 Se 0.2537 0.3884 0.6490
I1 I 0.7412 0.9078 0.8973
I2 I 0.7412 0.5922 0.6027
I3 I 0.2588 0.0922 0.1027
I4 I 0.2588 0.4078 0.3973
O1 O 0.8161 0.4241 0.8449
O2 O 0.8161 0.0759 0.6551
O3 O 0.1839 0.5759 0.1551
O4 O 0.1839 0.9241 0.3449
O5 O 0.9461 0.6164 0.9571
O6 O 0.9461 0.8836 0.5429
O7 O 0.0539 0.3836 0.0429
O8 O 0.0539 0.1164 0.4571
O9 O 0.4657 0.5824 0.9302
O10 O 0.4657 0.9176 0.5698
O11 O 0.5343 0.4176 0.0698
O12 O 0.5343 0.0824 0.4302
O13 O 0.5409 0.7650 0.1086
O14 O 0.5409 0.7350 0.3914
O15 O 0.4591 0.2350 0.8914
O16 O 0.4591 0.2650 0.6086
O17 O 0.0097 0.7978 0.1395
O18 O 0.0097 0.7022 0.3605
O19 O 0.9903 0.2022 0.8605
O20 O 0.9903 0.2978 0.6395
O21 O 0.6564 0.9083 0.2603
O22 O 0.6564 0.5917 0.2397
O23 O 0.3436 0.0917 0.7397
O24 O 0.3436 0.4083 0.7603
```

Computed properties:
formation energy without anion corrections	-1.078	eV per atom
N(E_F)	0.0	states/eV per cell

=====

[3]
A PBEsol-optimized structure of LaYTe. Source: Alexandria, functional meta-GGA SCAN.

The structure in CIF format:
```
data_LaYTe
_cell_length_a 5.1159
_cell_length_b 5.1159
_cell_length_c 5.1159
_cell_angle_alpha 60.00
_cell_angle_beta 60.00
_cell_angle_gamma 60.00
_space_group_name_H-M_alt 'P 1'
_space_group_IT_number 1
_space_group_name_Hall 'P 1'
loop_
_atom_site_label
_atom_site_type_symbol
_atom_site_fract_x
_atom_site_fract_y
_atom_site_fract_z
La1 La 0.0000 0.0000 0.0000
Te1 Te 0.5000 0.5000 0.5000
Y1 Y 0.2500 0.2500 0.2500
```

Computed properties:
formation energy without anion corrections	-0.226	eV per atom
N(E_F)	2.4	states/eV per cell

=====

[4]
A PBEsol-optimized structure of TaZnTe2I. Source: Alexandria, functional meta-GGA SCAN.

The structure in CIF format:
```
data_TaZnTe2I
_cell_length_a 5.0974
_cell_length_b 5.0974
_cell_length_c 5.2346
_cell_angle_alpha 90.00
_cell_angle_beta 90.00
_cell_angle_gamma 90.00
_space_group_name_H-M_alt 'P 1'
_space_group_IT_number 1
_space_group_name_Hall 'P 1'
loop_
_atom_site_label
_atom_site_type_symbol
_atom_site_fract_x
_atom_site_fract_y
_atom_site_fract_z
I1 I 0.0000 0.0000 0.5000
Zn1 Zn 0.0000 0.0000 0.0000
Te1 Te 0.0000 0.5000 0.0000
Te2 Te 0.5000 0.0000 0.0000
Ta1 Ta 0.5000 0.5000 0.5000
```

Computed properties:
formation energy without anion corrections	1.073	eV per atom
N(E_F)	3.1	states/eV per cell

=====

[5]
A PBEsol-optimized structure of Li2Ca. Source: Alexandria, functional meta-GGA SCAN.

The structure in CIF format:
```
data_Li2Ca
_cell_length_a 5.4595
_cell_length_b 5.4595
_cell_length_c 6.4366
_cell_angle_alpha 90.00
_cell_angle_beta 90.00
_cell_angle_gamma 120.00
_space_group_name_H-M_alt 'P 1'
_space_group_IT_number 1
_space_group_name_Hall 'P 1'
loop_
_atom_site_label
_atom_site_type_symbol
_atom_site_fract_x
_atom_site_fract_y
_atom_site_fract_z
Ca1 Ca 0.6667 0.3333 0.7500
Ca2 Ca 0.3333 0.6667 0.2500
Li1 Li 0.0000 0.0000 0.0000
Li2 Li 0.0000 0.0000 0.5000
Li3 Li 0.6667 0.3333 0.2500
Li4 Li 0.3333 0.6667 0.7500
```

Computed properties:
formation energy from the elements	0.06	eV/atom
excess energy over the best structure of this formula in the dataset	76	meV per atom
N(E_F)	3.9	states/eV per cell

=====

[6]
A PBEsol-optimized structure of Tl2ZnTe. Source: Alexandria, functional meta-GGA SCAN.

The structure in CIF format:
```
data_Tl2ZnTe
_cell_length_a 5.0604
_cell_length_b 5.4504
_cell_length_c 5.4504
_cell_angle_alpha 64.18
_cell_angle_beta 62.34
_cell_angle_gamma 62.34
_space_group_name_H-M_alt 'P 1'
_space_group_IT_number 1
_space_group_name_Hall 'P 1'
loop_
_atom_site_label
_atom_site_type_symbol
_atom_site_fract_x
_atom_site_fract_y
_atom_site_fract_z
Te1 Te 0.0000 0.5000 0.5000
Tl1 Tl 0.2329 0.7671 0.7671
Tl2 Tl 0.7671 0.2329 0.2329
Zn1 Zn 0.5000 0.0000 0.0000
```

Computed properties:
formation energy without anion corrections	0.053	eV per atom
excess energy over the best structure of this formula in the dataset	105	meV per atom
N(E_F)	0.8	states/eV per cell

=====

[7]
A PBEsol-optimized structure of Ba2YRe. Source: Alexandria, functional meta-GGA SCAN.

The structure in CIF format:
```
data_Ba2YRe
_cell_length_a 3.6599
_cell_length_b 5.2567
_cell_length_c 6.2312
_cell_angle_alpha 90.00
_cell_angle_beta 105.14
_cell_angle_gamma 90.00
_space_group_name_H-M_alt 'P 1'
_space_group_IT_number 1
_space_group_name_Hall 'P 1'
loop_
_atom_site_label
_atom_site_type_symbol
_atom_site_fract_x
_atom_site_fract_y
_atom_site_fract_z
Ba1 Ba 0.1177 0.0000 0.7720
Ba2 Ba 0.8823 0.0000 0.2280
Re1 Re 0.5000 0.5000 0.0000
Y1 Y 0.5000 0.5000 0.5000
```

Computed properties:
formation energy from the elements	1.13	eV/atom
excess energy over the best structure of this formula in the dataset	0	meV per atom
N(E_F)	3.7	states/eV per cell

=====

[8]
A PBEsol-optimized structure of Pt2RhW. Source: Alexandria, functional meta-GGA SCAN.

The structure in CIF format:
```
data_Pt2RhW
_cell_length_a 2.7441
_cell_length_b 2.7441
_cell_length_c 7.8325
_cell_angle_alpha 90.00
_cell_angle_beta 90.00
_cell_angle_gamma 90.00
_space_group_name_H-M_alt 'P 1'
_space_group_IT_number 1
_space_group_name_Hall 'P 1'
loop_
_atom_site_label
_atom_site_type_symbol
_atom_site_fract_x
_atom_site_fract_y
_atom_site_fract_z
Rh1 Rh 0.0000 0.0000 0.5109
W1 W 0.5000 0.5000 0.7438
Pt1 Pt 0.0000 0.0000 0.9901
Pt2 Pt 0.5000 0.5000 0.2552
```

Computed properties:
formation energy from the elements	-0.23	eV/atom
excess energy over the best structure of this formula in the dataset	72	meV per atom
N(E_F)	2.3	states/eV per cell

=====

[9]
A PBEsol-optimized structure of Cd2OsRu. Source: Alexandria, functional meta-GGA SCAN.

The structure in CIF format:
```
data_Cd2OsRu
_cell_length_a 2.8356
_cell_length_b 4.7403
_cell_length_c 5.0950
_cell_angle_alpha 98.39
_cell_angle_beta 90.00
_cell_angle_gamma 107.40
_space_group_name_H-M_alt 'P 1'
_space_group_IT_number 1
_space_group_name_Hall 'P 1'
loop_
_atom_site_label
_atom_site_type_symbol
_atom_site_fract_x
_atom_site_fract_y
_atom_site_fract_z
Cd1 Cd 0.0038 0.0077 0.9913
Cd2 Cd 0.2463 0.4925 0.7579
Os1 Os 0.4927 0.9853 0.4621
Ru1 Ru 0.7572 0.5144 0.2887
```

Computed properties:
formation energy from the elements	0.47	eV/atom
excess energy over the best structure of this formula in the dataset	0	meV per atom
N(E_F)	3.1	states/eV per cell

=====

[10]
A PBEsol-optimized structure of Cu2Ir. Source: Alexandria, functional meta-GGA SCAN.

The structure in CIF format:
```
data_Cu2Ir
_cell_length_a 2.6252
_cell_length_b 2.6252
_cell_length_c 6.2844
_cell_angle_alpha 90.00
_cell_angle_beta 90.00
_cell_angle_gamma 120.00
_space_group_name_H-M_alt 'P 1'
_space_group_IT_number 1
_space_group_name_Hall 'P 1'
loop_
_atom_site_label
_atom_site_type_symbol
_atom_site_fract_x
_atom_site_fract_y
_atom_site_fract_z
Ir1 Ir 0.0000 0.0000 0.0000
Cu1 Cu 0.6667 0.3333 0.3421
Cu2 Cu 0.3333 0.6667 0.6579
```

Computed properties:
formation energy from the elements	0.05	eV/atom
excess energy over the best structure of this formula in the dataset	12	meV per atom
N(E_F)	2.1	states/eV per cell

=====

[11]
A PBEsol-optimized structure of YZrOs. Source: Alexandria, functional meta-GGA SCAN.

The structure in CIF format:
```
data_YZrOs
_cell_length_a 3.3096
_cell_length_b 3.3096
_cell_length_c 6.8780
_cell_angle_alpha 90.00
_cell_angle_beta 90.00
_cell_angle_gamma 120.00
_space_group_name_H-M_alt 'P 1'
_space_group_IT_number 1
_space_group_name_Hall 'P 1'
loop_
_atom_site_label
_atom_site_type_symbol
_atom_site_fract_x
_atom_site_fract_y
_atom_site_fract_z
Os1 Os 0.0000 0.0000 0.0153
Y1 Y 0.6667 0.3333 0.7038
Zr1 Zr 0.3333 0.6667 0.2809
```

Computed properties:
formation energy from the elements	0.10	eV/atom
excess energy over the best structure of this formula in the dataset	0	meV per atom
N(E_F)	2.5	states/eV per cell

=====

[12]
A PBEsol-optimized structure of TaBePt2. Source: Alexandria, functional meta-GGA SCAN.

The structure in CIF format:
```
data_TaBePt2
_cell_length_a 2.7669
_cell_length_b 3.7641
_cell_length_c 5.4709
_cell_angle_alpha 90.00
_cell_angle_beta 90.11
_cell_angle_gamma 90.00
_space_group_name_H-M_alt 'P 1'
_space_group_IT_number 1
_space_group_name_Hall 'P 1'
loop_
_atom_site_label
_atom_site_type_symbol
_atom_site_fract_x
_atom_site_fract_y
_atom_site_fract_z
Be1 Be 0.5000 0.5000 0.5000
Pt1 Pt 0.9991 0.0000 0.7402
Pt2 Pt 0.0009 0.0000 0.2598
Ta1 Ta 0.5000 0.5000 0.0000
```

Computed properties:
formation energy from the elements	-0.67	eV/atom
N(E_F)	1.8	states/eV per cell

=====

| no. | theoretical density (kg/m³) |
| --- | --- |
| 1 | 3809 |
| 2 | 5768 |
| 3 | 6233 |
| 4 | 7673 |
| 5 | 1079 |
| 6 | 8827 |
| 7 | 7889 |
| 8 | 19058 |
| 9 | 13271 |
| 10 | 14136 |
| 11 | 9426 |
| 12 | 16907 |